## VGaH (PBE)

Data for a geometry-optimized VGaH structure.

```
VGaH
1.0
4.1634 0.0000 0.0000
0.0000 2.9691 0.0000
0.0000 -1.4845 2.5713
H V Ga
1 1 1
Cartesian
0.4695 0.0000 0.0000
0.8306 1.4845 0.8571
2.8633 0.0000 1.7142
```

- Total magnetic moment: 0.00 Bohr magnetons per cell
- Excess energy over the best structure of this formula in the dataset: 0.0 meV/atom